Record 1
An optimized crystal structure of Re11Ni4, computed with GGA-PBE.

Cell and atoms, written as extended XYZ:
```
30
Lattice="9.441 0.000 0.000 0.000 9.441 0.000 0.000 0.000 4.761" Properties=species:S:1:pos:R:3 pbc="T T T"
Re 0.000 0.000 0.000
Re 0.321 3.448 2.380
Re 0.631 2.473 0.000
Re 0.935 0.935 2.380
Re 1.272 5.042 0.000
Re 2.248 5.351 2.380
Re 2.473 0.631 0.000
Re 3.448 0.321 2.380
Re 3.785 5.656 0.000
Re 4.090 7.193 2.380
Re 4.399 8.169 0.000
Re 4.720 4.720 2.380
Re 5.042 1.272 0.000
Re 5.351 2.248 2.380
Re 5.656 3.785 0.000
Re 5.992 9.120 2.380
Re 6.968 8.810 0.000
Re 7.193 4.090 2.380
Re 8.169 4.399 0.000
Re 8.506 8.506 2.380
Re 8.810 6.968 0.000
Re 9.120 5.992 2.380
Ni 1.724 7.717 1.191
Ni 1.724 7.717 3.570
Ni 2.997 2.997 1.189
Ni 2.997 2.997 3.571
Ni 6.444 6.444 1.189
Ni 6.444 6.444 3.571
Ni 7.717 1.724 1.191
Ni 7.717 1.724 3.570
```

ΔH_f (0 K): 0.0701 eV/atom
Crystal system: tetragonal
M_tot: 0.0 μB per formula unit
SG: P4_2/mnm, No. 136
Energy above the lowest structure with this stoichiometry: 0.77 eV per formula unit



Record 2
An optimized crystal structure of Re2Ni, computed with GGA-PBE.

Cell and atoms, written as extended XYZ:
```
6
Lattice="0.000 3.584 3.584 3.584 0.000 3.584 3.584 3.584 0.000" Properties=species:S:1:pos:R:3 pbc="T T T"
Re 0.000 0.000 0.000
Re 1.792 1.792 0.000
Re 1.792 0.000 1.792
Re 0.000 1.792 1.792
Ni 2.688 2.688 2.688
Ni 4.480 4.480 4.480
```

ΔH_f (0 K): 0.6656 eV/atom
Crystal system: cubic
M_tot: 0.0 μB per formula unit
SG: Fd-3m, No. 227
Energy above the lowest structure with this stoichiometry: 1.98 eV per formula unit



Record 3
An optimized crystal structure of Re5Ni, computed with GGA-PBE.

Cell and atoms, written as extended XYZ:
```
24
Lattice="5.036 0.000 0.000 -2.518 4.361 0.000 0.000 0.000 15.869" Properties=species:S:1:pos:R:3 pbc="T T T"
Re 0.000 0.000 1.449
Re 0.000 0.000 6.486
Re 0.000 0.000 9.383
Re 0.000 0.000 14.420
Re -1.259 2.181 0.000
Re -1.259 2.181 7.935
Re 0.000 1.424 3.967
Re -1.285 3.649 3.967
Re 1.233 0.712 11.902
Re 0.000 2.908 10.433
Re 0.000 2.908 13.370
Re 2.518 0.000 0.000
Re 2.518 0.000 7.935
Re 1.259 2.181 0.000
Re 1.259 2.181 7.935
Re 2.518 1.454 2.499
Re 2.518 1.454 5.436
Re 1.285 3.649 3.967
Re 3.803 0.712 11.902
Re 2.518 2.937 11.902
Ni 0.000 2.908 1.994
Ni 0.000 2.908 5.940
Ni 2.518 1.454 9.929
Ni 2.518 1.454 13.875
```

ΔH_f (0 K): 0.2676 eV/atom
Crystal system: hexagonal
M_tot: 0.0 μB per formula unit
SG: P6_3/mmc, No. 194
Energy above the lowest structure with this stoichiometry: 0.22 eV per formula unit



Record 4
An optimized crystal structure of ReNi2, computed with GGA-PBE.

Cell and atoms, written as extended XYZ:
```
6
Lattice="6.288 0.000 0.000 0.000 6.288 0.000 0.000 0.000 2.497" Properties=species:S:1:pos:R:3 pbc="T T T"
Re 0.000 0.000 0.000
Re 3.144 3.144 1.248
Ni 1.512 1.512 1.248
Ni 1.632 4.656 0.000
Ni 4.656 1.632 0.000
Ni 4.776 4.776 1.248
```

ΔH_f (0 K): 0.9371 eV/atom
Crystal system: tetragonal
M_tot: 0.0 μB per formula unit
SG: P4_2/mnm, No. 136
Energy above the lowest structure with this stoichiometry: 2.69 eV per formula unit



Which value of M_tot does entry 1 give?
0.0 μB per formula unit



Look up the M_tot of the first one.
0.0 μB per formula unit



Among the records above, which one has the highest energy above the lowest structure with this stoichiometry?
ReNi2



energy above the lowest structure with this stoichiometry of number 3 (Re5Ni)?
0.22 eV per formula unit